Entry 1:
# SiP3Pt5 (GGA-PBE, relaxed)
data_SiP3Pt5
_symmetry_space_group_name_H-M 'P 1'
_symmetry_Int_Tables_number 1
_symmetry_space_group_name_Hall 'P 1'
_cell_length_a 8.1715
_cell_length_b 8.1715
_cell_length_c 8.1715
_cell_angle_alpha 134.24
_cell_angle_beta 133.37
_cell_angle_gamma 67.39
loop_
_atom_site_label
_atom_site_fract_x
_atom_site_fract_y
_atom_site_fract_z
_atom_site_occupancy
Pt1 0.0000 0.5000 0.0000 1
Pt2 0.4324 0.6260 0.2653 1
P1 0.2903 0.7500 0.5403 1
Pt3 0.5676 0.3740 0.7347 1
P2 0.7097 0.2500 0.4597 1
Pt4 0.4324 0.1671 0.8064 1
P3 0.2584 0.9994 0.2589 1
Pt5 0.1393 0.3329 0.2653 1
P4 0.7595 0.5006 0.2589 1
Pt6 0.0000 0.0000 0.5000 1
P5 0.2405 0.4994 0.7411 1
Si1 0.6655 0.7500 0.9155 1
P6 0.7416 0.0006 0.7411 1
Si2 0.3345 0.2500 0.0845 1
Pt7 0.8607 0.1260 0.1936 1
Pt8 0.5676 0.8329 0.1936 1
Pt9 0.1393 0.8740 0.8064 1
Pt10 0.8607 0.6671 0.7347 1
# V: 15.52 A^3/atom
# Energy relative to the elements, uncorrected: -0.190 eV per atom
# Final energy: -5.952 eV per atom
# N(E_F): 0.45 states/eV/atom

Entry 2:
# ZrTc2Ru (GGA-PBE, relaxed)
data_ZrTc2Ru
_symmetry_space_group_name_H-M 'P 1'
_symmetry_Int_Tables_number 1
_symmetry_space_group_name_Hall 'P 1'
_cell_length_a 9.5548
_cell_length_b 9.5548
_cell_length_c 9.5548
_cell_angle_alpha 16.94
_cell_angle_beta 16.94
_cell_angle_gamma 16.94
loop_
_atom_site_label
_atom_site_fract_x
_atom_site_fract_y
_atom_site_fract_z
_atom_site_occupancy
Tc1 0.4915 0.4915 0.4915 1
Tc2 0.0085 0.0085 0.0085 1
Zr1 0.2500 0.2500 0.2500 1
Ru1 0.7500 0.7500 0.7500 1
# V: 16.16 A^3/atom
# Formation enthalpy at 0 K: 216 meV/atom
# Final energy: -9.423 eV per atom
# N(E_F): 0.83 states/eV/atom

Entry 3:
# SbPRu (GGA-PBE, relaxed)
data_SbPRu
_symmetry_space_group_name_H-M 'P 1'
_symmetry_Int_Tables_number 1
_symmetry_space_group_name_Hall 'P 1'
_cell_length_a 6.8895
_cell_length_b 6.8895
_cell_length_c 3.7831
_cell_angle_alpha 90.00
_cell_angle_beta 90.00
_cell_angle_gamma 120.00
loop_
_atom_site_label
_atom_site_fract_x
_atom_site_fract_y
_atom_site_fract_z
_atom_site_occupancy
Ru1 0.0000 0.7634 0.0000 1
P1 0.6667 0.3333 0.0000 1
Sb1 0.0000 0.3981 0.5000 1
Sb2 0.6019 0.6019 0.5000 1
P2 0.0000 0.0000 0.5000 1
Ru2 0.2366 0.2366 0.0000 1
P3 0.3333 0.6667 0.0000 1
Ru3 0.7634 0.0000 0.0000 1
Sb3 0.3981 0.0000 0.5000 1
# V: 17.28 A^3/atom
# Energy relative to the elements, uncorrected: 0.172 eV per atom
# Final energy: -6.097 eV per atom
# N(E_F): 0.62 states/eV/atom

Entry 4:
# K2AgOsO6 (GGA-PBE, relaxed)
data_K2AgOsO6
_symmetry_space_group_name_H-M 'P 1'
_symmetry_Int_Tables_number 1
_symmetry_space_group_name_Hall 'P 1'
_cell_length_a 5.7964
_cell_length_b 6.0748
_cell_length_c 6.0748
_cell_angle_alpha 120.00
_cell_angle_beta 90.00
_cell_angle_gamma 90.00
loop_
_atom_site_label
_atom_site_fract_x
_atom_site_fract_y
_atom_site_fract_z
_atom_site_occupancy
O1 0.8094 0.1449 0.8551 1
Os1 0.0000 0.0000 0.0000 1
K1 0.8322 0.6667 0.3333 1
K2 0.1678 0.3333 0.6667 1
O2 0.8094 0.7103 0.8551 1
Ag1 0.5000 0.0000 0.0000 1
O3 0.8094 0.1449 0.2897 1
O4 0.1906 0.8551 0.7103 1
O5 0.1906 0.8551 0.1449 1
O6 0.1906 0.2897 0.1449 1
# V: 18.52 A^3/atom
# Energy relative to the elements, uncorrected: -0.889 eV per atom
# Final energy: -5.492 eV per atom
# N(E_F): 0.64 states/eV/atom

Entry 5:
# Mn2CdCl (GGA-PBE, relaxed)
data_Mn2CdCl
_symmetry_space_group_name_H-M 'P 1'
_symmetry_Int_Tables_number 1
_symmetry_space_group_name_Hall 'P 1'
_cell_length_a 3.0538
_cell_length_b 3.0538
_cell_length_c 7.6858
_cell_angle_alpha 90.00
_cell_angle_beta 90.00
_cell_angle_gamma 90.00
loop_
_atom_site_label
_atom_site_fract_x
_atom_site_fract_y
_atom_site_fract_z
_atom_site_occupancy
Mn1 0.0000 0.0000 0.5054 1
Cd1 0.5000 0.5000 0.2500 1
Mn2 0.0000 0.0000 0.9946 1
Cl1 0.5000 0.5000 0.7500 1
# V: 17.92 A^3/atom
# Energy relative to the elements, uncorrected: 0.225 eV per atom
# Final energy: -5.050 eV per atom
# N(E_F): 0.80 states/eV/atom

Entry 6:
# LiSmTiGa (GGA-PBE, relaxed)
data_LiSmTiGa
_symmetry_space_group_name_H-M 'P 1'
_symmetry_Int_Tables_number 1
_symmetry_space_group_name_Hall 'P 1'
_cell_length_a 4.8498
_cell_length_b 4.8498
_cell_length_c 4.8498
_cell_angle_alpha 60.00
_cell_angle_beta 60.00
_cell_angle_gamma 60.00
loop_
_atom_site_label
_atom_site_fract_x
_atom_site_fract_y
_atom_site_fract_z
_atom_site_occupancy
Li1 0.0000 0.0000 0.0000 1
Ga1 0.5000 0.5000 0.5000 1
Sm1 0.7500 0.7500 0.7500 1
Ti1 0.2500 0.2500 0.2500 1
# V: 20.16 A^3/atom
# Formation enthalpy at 0 K: -107 meV/atom
# Final energy: -4.496 eV per atom
# N(E_F): 0.89 states/eV/atom

Entry 7:
# La5PmTl2 (GGA-PBE, relaxed)
data_La5PmTl2
_symmetry_space_group_name_H-M 'P 1'
_symmetry_Int_Tables_number 1
_symmetry_space_group_name_Hall 'P 1'
_cell_length_a 5.6911
_cell_length_b 5.6911
_cell_length_c 20.6069
_cell_angle_alpha 90.00
_cell_angle_beta 90.00
_cell_angle_gamma 120.00
loop_
_atom_site_label
_atom_site_fract_x
_atom_site_fract_y
_atom_site_fract_z
_atom_site_occupancy
La1 0.0000 0.0000 0.1603 1
Tl1 0.3333 0.6667 0.0946 1
La2 0.6667 0.3333 0.2500 1
Pm1 0.3333 0.6667 0.2500 1
La3 0.3333 0.6667 0.9357 1
Pm2 0.6667 0.3333 0.7500 1
Tl2 0.3333 0.6667 0.4054 1
La4 0.0000 0.0000 0.8397 1
La5 0.6667 0.3333 0.4357 1
La6 0.0000 0.0000 0.3397 1
La7 0.0000 0.0000 0.6603 1
La8 0.6667 0.3333 0.0643 1
La9 0.3333 0.6667 0.7500 1
Tl3 0.6667 0.3333 0.5946 1
La10 0.3333 0.6667 0.5643 1
Tl4 0.6667 0.3333 0.9054 1
# V: 36.13 A^3/atom
# Formation enthalpy at 0 K: -106 meV/atom
# Final energy: -4.371 eV per atom
# N(E_F): 1.75 states/eV/atom

Entry 8:
# Sc2TlTe (GGA-PBE, relaxed)
data_Sc2TlTe
_symmetry_space_group_name_H-M 'P 1'
_symmetry_Int_Tables_number 1
_symmetry_space_group_name_Hall 'P 1'
_cell_length_a 5.1710
_cell_length_b 5.1710
_cell_length_c 3.6437
_cell_angle_alpha 90.00
_cell_angle_beta 90.00
_cell_angle_gamma 101.08
loop_
_atom_site_label
_atom_site_fract_x
_atom_site_fract_y
_atom_site_fract_z
_atom_site_occupancy
Sc1 0.5000 0.5000 0.0000 1
Te1 0.5000 0.0000 0.5000 1
Tl1 0.0000 0.5000 0.5000 1
Sc2 0.0000 0.0000 0.0000 1
# V: 23.90 A^3/atom
# Energy relative to the elements, uncorrected: -0.484 eV per atom
# Final energy: -5.027 eV per atom
# N(E_F): 1.13 states/eV/atom

Entry 9:
# V2InMo (GGA-PBE, relaxed)
data_V2InMo
_symmetry_space_group_name_H-M 'P 1'
_symmetry_Int_Tables_number 1
_symmetry_space_group_name_Hall 'P 1'
_cell_length_a 3.3945
_cell_length_b 4.3079
_cell_length_c 4.3079
_cell_angle_alpha 90.00
_cell_angle_beta 90.00
_cell_angle_gamma 90.00
loop_
_atom_site_label
_atom_site_fract_x
_atom_site_fract_y
_atom_site_fract_z
_atom_site_occupancy
In1 0.5000 0.0000 0.0000 1
Mo1 0.5000 0.5000 0.5000 1
V1 0.0000 0.0000 0.5000 1
V2 0.0000 0.5000 0.0000 1
# V: 15.75 A^3/atom
# Formation enthalpy at 0 K: 141 meV/atom
# Final energy: -7.811 eV per atom
# N(E_F): 1.23 states/eV/atom

Entry 10:
# Ce5PtSe4 (GGA-PBE, relaxed)
data_Ce5PtSe4
_symmetry_space_group_name_H-M 'P 1'
_symmetry_Int_Tables_number 1
_symmetry_space_group_name_Hall 'P 1'
_cell_length_a 4.1887
_cell_length_b 4.1887
_cell_length_c 15.1975
_cell_angle_alpha 97.92
_cell_angle_beta 97.92
_cell_angle_gamma 90.00
loop_
_atom_site_label
_atom_site_fract_x
_atom_site_fract_y
_atom_site_fract_z
_atom_site_occupancy
Ce1 0.5000 0.5000 0.0000 1
Ce2 0.7011 0.7011 0.4023 1
Se1 0.3990 0.3990 0.7980 1
Ce3 0.0993 0.0993 0.1987 1
Se2 0.6010 0.6010 0.2020 1
Pt1 0.0000 0.0000 0.0000 1
Se3 0.8010 0.8010 0.6020 1
Ce4 0.2989 0.2989 0.5977 1
Se4 0.1990 0.1990 0.3980 1
Ce5 0.9007 0.9007 0.8013 1
# V: 26.15 A^3/atom
# Energy relative to the elements, uncorrected: -1.632 eV per atom
# Final energy: -6.597 eV per atom
# N(E_F): 3.09 states/eV/atom

Entry 11:
# Er6CoTe3 (GGA-PBE, relaxed)
data_Er6CoTe3
_symmetry_space_group_name_H-M 'P 1'
_symmetry_Int_Tables_number 1
_symmetry_space_group_name_Hall 'P 1'
_cell_length_a 3.8802
_cell_length_b 11.8725
_cell_length_c 12.5071
_cell_angle_alpha 104.97
_cell_angle_beta 90.00
_cell_angle_gamma 90.00
loop_
_atom_site_label
_atom_site_fract_x
_atom_site_fract_y
_atom_site_fract_z
_atom_site_occupancy
Co1 0.7500 0.0415 0.6810 1
Er1 0.2500 0.2196 0.6803 1
Te1 0.7500 0.1564 0.0408 1
Er2 0.7500 0.7804 0.3197 1
Te2 0.2500 0.8436 0.9592 1
Er3 0.2500 0.5119 0.3501 1
Er4 0.2500 0.0466 0.8482 1
Te3 0.2500 0.6254 0.1470 1
Co2 0.2500 0.9585 0.3190 1
Te4 0.7500 0.3746 0.8530 1
Er5 0.7500 0.4196 0.1103 1
Er6 0.7500 0.4881 0.6499 1
Te5 0.2500 0.3285 0.4846 1
Te6 0.7500 0.6715 0.5154 1
Er7 0.2500 0.5804 0.8897 1
Er8 0.7500 0.7880 0.7633 1
Er9 0.7500 0.9534 0.1518 1
Er10 0.2500 0.2120 0.2367 1
Er11 0.2500 0.9080 0.5612 1
Er12 0.7500 0.0920 0.4388 1
# V: 27.83 A^3/atom
# Energy relative to the elements, uncorrected: -0.718 eV per atom
# Final energy: -5.109 eV per atom
# N(E_F): 0.87 states/eV/atom

Entry 12:
# Ba4PdI6 (GGA-PBE, relaxed)
data_Ba4PdI6
_symmetry_space_group_name_H-M 'P 1'
_symmetry_Int_Tables_number 1
_symmetry_space_group_name_Hall 'P 1'
_cell_length_a 8.3235
_cell_length_b 11.3665
_cell_length_c 11.3665
_cell_angle_alpha 90.00
_cell_angle_beta 90.00
_cell_angle_gamma 90.00
loop_
_atom_site_label
_atom_site_fract_x
_atom_site_fract_y
_atom_site_fract_z
_atom_site_occupancy
I1 0.0000 0.7898 0.2102 1
Ba1 0.8253 0.7479 0.5000 1
I2 0.5000 0.7102 0.7102 1
Ba2 0.8253 0.2521 0.5000 1
I3 0.5000 0.2898 0.7102 1
Ba3 0.1747 0.5000 0.2521 1
Pd1 0.0000 0.5000 0.5000 1
Ba4 0.1747 0.5000 0.7479 1
I4 0.0819 0.0000 0.5000 1
I5 0.0000 0.7898 0.7898 1
Pd2 0.5000 0.0000 0.0000 1
I6 0.4182 0.5000 0.0000 1
Ba5 0.6747 0.2479 0.0000 1
I7 0.5000 0.7102 0.2898 1
I8 0.5000 0.2898 0.2898 1
Ba6 0.3253 0.0000 0.2479 1
I9 0.9182 0.5000 0.0000 1
I10 0.5818 0.0000 0.5000 1
Ba7 0.3253 0.0000 0.7521 1
Ba8 0.6747 0.7521 0.0000 1
I11 0.0000 0.2102 0.7898 1
I12 0.0000 0.2102 0.2102 1
# V: 48.88 A^3/atom
# Energy relative to the elements, uncorrected: -1.495 eV per atom
# Final energy: -3.512 eV per atom
# N(E_F): 0.00 states/eV/atom

Entry 13:
# HgIN3 (GGA-PBE, relaxed)
data_HgIN3
_symmetry_space_group_name_H-M 'P 1'
_symmetry_Int_Tables_number 1
_symmetry_space_group_name_Hall 'P 1'
_cell_length_a 4.0613
_cell_length_b 4.0613
_cell_length_c 4.0613
_cell_angle_alpha 90.00
_cell_angle_beta 90.00
_cell_angle_gamma 90.00
loop_
_atom_site_label
_atom_site_fract_x
_atom_site_fract_y
_atom_site_fract_z
_atom_site_occupancy
N1 0.0000 0.5000 0.0000 1
I1 0.0000 0.0000 0.0000 1
N2 0.0000 0.0000 0.5000 1
N3 0.5000 0.0000 0.0000 1
Hg1 0.5000 0.5000 0.5000 1
# V: 13.40 A^3/atom
# Energy relative to the elements, uncorrected: 2.321 eV per atom
# Final energy: -3.044 eV per atom
# N(E_F): 0.53 states/eV/atom

Entry 14:
# LiInSn (GGA-PBE, relaxed)
data_LiInSn
_symmetry_space_group_name_H-M 'P 1'
_symmetry_Int_Tables_number 1
_symmetry_space_group_name_Hall 'P 1'
_cell_length_a 5.1869
_cell_length_b 5.1869
_cell_length_c 3.1653
_cell_angle_alpha 90.00
_cell_angle_beta 90.00
_cell_angle_gamma 120.00
loop_
_atom_site_label
_atom_site_fract_x
_atom_site_fract_y
_atom_site_fract_z
_atom_site_occupancy
Li1 0.6667 0.3333 0.5000 1
Sn1 0.3333 0.6667 0.0000 1
In1 0.0000 0.0000 0.0000 1
# V: 24.58 A^3/atom
# Formation enthalpy at 0 K: -147 meV/atom
# Final energy: -3.032 eV per atom
# N(E_F): 0.39 states/eV/atom

Entry 15:
# Cs2As2Pt (GGA-PBE, relaxed)
data_Cs2As2Pt
_symmetry_space_group_name_H-M 'P 1'
_symmetry_Int_Tables_number 1
_symmetry_space_group_name_Hall 'P 1'
_cell_length_a 6.7499
_cell_length_b 6.7499
_cell_length_c 6.1535
_cell_angle_alpha 90.00
_cell_angle_beta 90.00
_cell_angle_gamma 90.00
loop_
_atom_site_label
_atom_site_fract_x
_atom_site_fract_y
_atom_site_fract_z
_atom_site_occupancy
As1 0.8628 0.6372 0.0000 1
As2 0.1372 0.3628 0.0000 1
Pt1 0.5000 0.5000 0.0000 1
Cs1 0.8210 0.3210 0.5000 1
Cs2 0.6790 0.8210 0.5000 1
Cs3 0.3210 0.1790 0.5000 1
Pt2 0.0000 0.0000 0.0000 1
Cs4 0.1790 0.6790 0.5000 1
As3 0.3628 0.8628 0.0000 1
As4 0.6372 0.1372 0.0000 1
# V: 28.04 A^3/atom
# Formation enthalpy at 0 K: -258 meV/atom
# Final energy: -3.667 eV per atom
# N(E_F): 0.46 states/eV/atom

Entry 16:
# AcCeSe3 (GGA-PBE, relaxed)
data_AcCeSe3
_symmetry_space_group_name_H-M 'P 1'
_symmetry_Int_Tables_number 1
_symmetry_space_group_name_Hall 'P 1'
_cell_length_a 4.3677
_cell_length_b 7.1697
_cell_length_c 9.4464
_cell_angle_alpha 90.00
_cell_angle_beta 90.00
_cell_angle_gamma 90.00
loop_
_atom_site_label
_atom_site_fract_x
_atom_site_fract_y
_atom_site_fract_z
_atom_site_occupancy
Ac1 0.0000 0.5000 0.8503 1
Se1 0.0000 0.2327 0.3341 1
Ce1 0.5000 0.5000 0.4004 1
Ce2 0.0000 0.0000 0.5996 1
Se2 0.0000 0.0000 0.9240 1
Se3 0.0000 0.7673 0.3341 1
Se4 0.5000 0.2673 0.6659 1
Se5 0.5000 0.5000 0.0760 1
Ac2 0.5000 0.0000 0.1497 1
Se6 0.5000 0.7327 0.6659 1
# V: 29.58 A^3/atom
# Energy relative to the elements, uncorrected: -1.903 eV per atom
# Final energy: -6.003 eV per atom
# N(E_F): 1.31 states/eV/atom

Entry 17:
# Zn2CuCl (GGA-PBE, relaxed)
data_Zn2CuCl
_symmetry_space_group_name_H-M 'P 1'
_symmetry_Int_Tables_number 1
_symmetry_space_group_name_Hall 'P 1'
_cell_length_a 6.1958
_cell_length_b 6.1958
_cell_length_c 6.1958
_cell_angle_alpha 146.31
_cell_angle_beta 146.31
_cell_angle_gamma 48.38
loop_
_atom_site_label
_atom_site_fract_x
_atom_site_fract_y
_atom_site_fract_z
_atom_site_occupancy
Zn1 0.0000 0.0000 0.0000 1
Zn2 0.2500 0.7500 0.5000 1
Cu1 0.7500 0.2500 0.5000 1
Cl1 0.5000 0.5000 0.0000 1
# V: 18.22 A^3/atom
# Energy relative to the elements, uncorrected: 0.143 eV per atom
# Final energy: -1.979 eV per atom
# N(E_F): 0.31 states/eV/atom

Entry 18:
# YNCl2 (GGA-PBE, relaxed)
data_YNCl2
_symmetry_space_group_name_H-M 'P 1'
_symmetry_Int_Tables_number 1
_symmetry_space_group_name_Hall 'P 1'
_cell_length_a 10.0878
_cell_length_b 10.0878
_cell_length_c 10.0878
_cell_angle_alpha 21.58
_cell_angle_beta 21.58
_cell_angle_gamma 21.58
loop_
_atom_site_label
_atom_site_fract_x
_atom_site_fract_y
_atom_site_fract_z
_atom_site_occupancy
Cl1 0.8890 0.8890 0.8890 1
Cl2 0.1110 0.1110 0.1110 1
N1 0.0000 0.0000 0.0000 1
Y1 0.5000 0.5000 0.5000 1
# V: 30.43 A^3/atom
# Energy relative to the elements, uncorrected: -0.162 eV per atom
# Final energy: -4.782 eV per atom
# N(E_F): 0.57 states/eV/atom

Entry 19:
# SrTaBr4 (GGA-PBE, relaxed)
data_SrTaBr4
_symmetry_space_group_name_H-M 'P 1'
_symmetry_Int_Tables_number 1
_symmetry_space_group_name_Hall 'P 1'
_cell_length_a 6.3845
_cell_length_b 6.3845
_cell_length_c 6.3845
_cell_angle_alpha 60.00
_cell_angle_beta 60.00
_cell_angle_gamma 60.00
loop_
_atom_site_label
_atom_site_fract_x
_atom_site_fract_y
_atom_site_fract_z
_atom_site_occupancy
Br1 0.8758 0.3747 0.3747 1
Br2 0.3747 0.3747 0.3747 1
Br3 0.3747 0.8758 0.3747 1
Sr1 0.7500 0.7500 0.7500 1
Br4 0.3747 0.3747 0.8758 1
Ta1 0.0000 0.0000 0.0000 1
# V: 30.67 A^3/atom
# Energy relative to the elements, uncorrected: 0.509 eV per atom
# Final energy: -2.862 eV per atom
# N(E_F): 1.03 states/eV/atom

Entry 20:
# LaAu3F (GGA-PBE, relaxed)
data_LaAu3F
_symmetry_space_group_name_H-M 'P 1'
_symmetry_Int_Tables_number 1
_symmetry_space_group_name_Hall 'P 1'
_cell_length_a 5.7857
_cell_length_b 5.7857
_cell_length_c 5.7857
_cell_angle_alpha 90.00
_cell_angle_beta 90.00
_cell_angle_gamma 90.00
loop_
_atom_site_label
_atom_site_fract_x
_atom_site_fract_y
_atom_site_fract_z
_atom_site_occupancy
Au1 0.5000 0.0000 0.0000 1
Au2 0.0000 0.5000 0.0000 1
F1 0.5000 0.5000 0.5000 1
Au3 0.0000 0.0000 0.5000 1
La1 0.0000 0.0000 0.0000 1
# V: 38.73 A^3/atom
# Energy relative to the elements, uncorrected: 0.282 eV per atom
# Final energy: -3.044 eV per atom
# N(E_F): 1.71 states/eV/atom